A geometry-optimized Pu5UTc6 structure, computed with PBE.

Unit cell a=4.9152 b=6.7022 c=7.7741 alpha=64.46 beta=77.64 gamma=90.00
Closest atoms and distances in Å follow each position.
Element x y z (fractional)
Pu 0.6215 0.1789 0.6422  1 Pu 2.61, 2 Tc 2.91
Pu 0.3838 0.3264 0.3472  1 Pu 2.61
Tc 0.5000 0.7576 0.0000  6 Pu 2.93-3.00, 2 U 2.95, 5 Tc 3.12-3.25
Tc 0.5000 0.2424 0.0000  6 Pu 2.93-3.00, 2 U 2.95, 5 Tc 3.12-3.25
Tc 0.9150 0.0947 0.2960  1 U 2.59, 1 Pu 2.65
Tc 0.0850 0.9053 0.7040  1 U 2.59, 1 Pu 2.65
Tc 0.9150 0.6093 0.2960  1 U 2.59, 1 Pu 2.65
U 0.0000 0.0000 0.0000  4 Tc 2.59
Pu 0.0000 0.5000 0.0000  4 Tc 2.65
Tc 0.0850 0.3907 0.7040  1 U 2.59, 1 Pu 2.65
Pu 0.6162 0.6736 0.6528  1 Pu 2.61
Pu 0.3785 0.8211 0.3578  1 Pu 2.61, 2 Tc 2.91

Calculated values
**Crystal system**: monoclinic
**DOS(E_F)**: 31.411 states/eV per cell
**Uncorrected energy**: -12.0339 eV per atom


A geometry-optimized LiFe2Te structure, computed with PBE.

Unit cell a=3.7886 b=3.7886 c=4.1161 alpha=90.00 beta=90.00 gamma=90.00
Closest atoms and distances in Å follow each position.
Element x y z (fractional)
Te 0.0000 0.5000 0.5000  4 Li 2.68, 8 Fe 2.80
Fe 0.0000 0.0000 0.0000  4 Fe 2.68, 4 Li 2.80, 4 Te 2.80
Li 0.5000 0.0000 0.5000  4 Te 2.68, 8 Fe 2.80
Fe 0.5000 0.5000 0.0000  4 Fe 2.68, 4 Li 2.80, 4 Te 2.80

Calculated values
**Formation energy from raw total energies**: 0.33 eV per formula unit
**Crystal system**: tetragonal
**DOS(E_F)**: 3.366 states/eV per cell


A geometry-optimized Ba2SrNiAg structure, computed with PBE.

Unit cell a=5.9532 b=5.9532 c=5.7663 alpha=90.00 beta=90.00 gamma=90.00
Closest atoms and distances in Å follow each position.
Element x y z (fractional)
Ag 0.5000 0.5000 0.5000  8 Ba 4.14, 4 Sr 4.21
Ni 0.0000 0.0000 0.0000  2 Sr 2.88, 4 Ba 2.98
Sr 0.0000 0.0000 0.5000  2 Ni 2.88
Ba 0.5000 0.0000 0.0000  2 Ni 2.98
Ba 0.0000 0.5000 0.0000  2 Ni 2.98

Calculated values
**Crystal system**: tetragonal
**DOS(E_F)**: 3.363 states/eV per cell
**Uncorrected energy**: -2.7875 eV per atom


A geometry-optimized Ca2TmCl structure, computed with PBE.

Unit cell a=3.7243 b=3.7243 c=10.3500 alpha=79.63 beta=79.63 gamma=60.00
Closest atoms and distances in Å follow each position.
Element x y z (fractional)
Ca 0.2631 0.2631 0.2106  3 Cl 3.03
Tm 0.5000 0.5000 0.5000  6 Ca 3.63, 6 Tm 3.72
Cl 0.0000 0.0000 0.0000  6 Ca 3.03
Ca 0.7369 0.7369 0.7894  3 Cl 3.03

Calculated values
**Formation energy from raw total energies**: -3.00 eV per formula unit
**Crystal system**: trigonal
**DOS(E_F)**: 4.652 states/eV per cell


Q: The highest DOS(E_F) belongs to which entry?
A: Pu5UTc6